A plane-wave DFT calculation with GGA-PBE was carried out for ZrNi2Sb after structural relaxation.

abc: 5.0091 5.0091 5.0091
angles: 133.15 133.15 68.41
Fractional positions:
1 Zr 0.7500 0.2500 0.5000
2 Ni 0.0000 0.0000 0.0000
3 Ni 0.2500 0.7500 0.5000
4 Sb 0.5000 0.5000 0.0000

Values from the calculation:
As for the space group: I-4m2. The calculation puts the volume at 16.42 A^3/atom. The value obtained for the energy relative to the elements, uncorrected is -0.229 eV/atom.